Compound: Pm3Pr4Pt4
Source: Alexandria
Functional: GGA-PBE
Structure: optimized geometry

abc: 9.303 9.303 9.303
angles: 150.46 129.60 59.51
Sites, in units of the cell vectors:
Pm (0.000, 0.000, 0.000)
Pm (0.404, 0.904, 0.500)
Pm (0.596, 0.096, 0.500)
Pr (0.049, 0.332, 0.717)
Pr (0.385, 0.668, 0.717)
Pr (0.615, 0.332, 0.283)
Pr (0.951, 0.668, 0.283)
Pt (0.203, 0.203, 0.000)
Pt (0.320, 0.500, 0.820)
Pt (0.680, 0.500, 0.180)
Pt (0.797, 0.797, 0.000)

Values from the calculation:
**Space group**: Immm
**VASP energy**: -5.98 eV/atom

Compound: PmPr2Pt2
Source: Alexandria
Functional: GGA-PBE
Structure: optimized geometry

abc: 7.554 7.554 7.554
angles: 113.47 87.62 130.04
Sites, in units of the cell vectors:
Pm (0.250, 0.250, 0.000)
Pm (0.750, 0.750, 0.000)
Pr (0.152, 0.635, 0.787)
Pr (0.348, 0.135, 0.483)
Pr (0.652, 0.865, 0.517)
Pr (0.848, 0.365, 0.213)
Pt (0.106, 0.274, 0.380)
Pt (0.394, 0.774, 0.168)
Pt (0.606, 0.226, 0.832)
Pt (0.894, 0.726, 0.620)

Values from the calculation:
**Space group**: Ibam
**VASP energy**: -6.10 eV/atom

Compound: Pm2Pr3Pt2
Source: Alexandria
Functional: GGA-PBE
Structure: optimized geometry

abc: 6.596 6.596 9.313
angles: 113.51 113.51 34.59
Sites, in units of the cell vectors:
Pm (0.166, 0.166, 0.312)
Pm (0.834, 0.834, 0.688)
Pr (0.385, 0.385, 0.067)
Pr (0.500, 0.500, 0.500)
Pr (0.615, 0.615, 0.933)
Pt (0.173, 0.173, 0.734)
Pt (0.827, 0.827, 0.266)

Values from the calculation:
**Space group**: C2/m
**VASP energy**: -5.80 eV/atom

Compound: PmPrPt2
Source: Alexandria
Functional: GGA-PBE
Structure: optimized geometry

abc: 3.609 3.609 7.227
angles: 90.00 90.00 90.00
Sites, in units of the cell vectors:
Pm (0.000, 0.000, 0.000)
Pr (0.000, 0.000, 0.500)
Pt (0.500, 0.500, 0.241)
Pt (0.500, 0.500, 0.759)

Values from the calculation:
**Space group**: P4/mmm
**VASP energy**: -6.45 eV/atom

Compound: PmPrPt2
Source: Alexandria
Functional: GGA-PBE
Structure: optimized geometry

abc: 7.531 7.531 7.531
angles: 31.90 31.90 31.90
Sites, in units of the cell vectors:
Pm (0.000, 0.000, 0.000)
Pr (0.828, 0.828, 0.828)
Pt (0.413, 0.413, 0.413)
Pt (0.581, 0.581, 0.581)

Values from the calculation:
**Space group**: R3m
**VASP energy**: -6.39 eV/atom

Compound: PmPrPt
Source: Alexandria
Functional: GGA-PBE
Structure: optimized geometry

abc: 6.907 6.907 5.171
angles: 90.00 90.00 135.97
Sites, in units of the cell vectors:
Pm (0.123, 0.877, 0.750)
Pm (0.877, 0.123, 0.250)
Pr (0.389, 0.611, 0.750)
Pr (0.611, 0.389, 0.250)
Pt (0.258, 0.742, 0.250)
Pt (0.742, 0.258, 0.750)

Values from the calculation:
**Space group**: Cmcm
**VASP energy**: -5.86 eV/atom

Please write out number 6 again, unchanged.
Compound: PmPrPt
Source: Alexandria
Functional: GGA-PBE
Structure: optimized geometry

abc: 6.907 6.907 5.171
angles: 90.00 90.00 135.97
Sites, in units of the cell vectors:
Pm (0.123, 0.877, 0.750)
Pm (0.877, 0.123, 0.250)
Pr (0.389, 0.611, 0.750)
Pr (0.611, 0.389, 0.250)
Pt (0.258, 0.742, 0.250)
Pt (0.742, 0.258, 0.750)

Values from the calculation:
**Space group**: Cmcm
**VASP energy**: -5.86 eV/atom